1.
VASP calculation (PBE) on an optimized crystal structure of PmZn8Ir4.

E_form   -0.338 eV per atom

Cell: 6.715 6.715 6.715 Å, 100.02 100.02 130.68°
Fractional coordinates of all 13 atoms:
Ir: 0.500 0.000 0.000
Ir: 0.000 0.500 0.000
Ir: 0.000 0.000 0.500
Ir: 0.500 0.500 0.500
Pm: 0.000 0.000 0.000
Zn: 0.727 0.500 0.227
Zn: 0.500 0.727 0.227
Zn: 0.000 0.339 0.339
Zn: 0.339 0.000 0.339
Zn: 0.661 0.000 0.661
Zn: 0.000 0.661 0.661
Zn: 0.500 0.273 0.773
Zn: 0.273 0.500 0.773

---

2.
VASP calculation (PBE) on an optimized crystal structure of HfCd2Bi2.

Offset from the most stable computed form   0 meV/atom

Cell: 7.708 7.708 7.708 Å, 148.35 148.35 45.37°
Fractional coordinates of all 5 atoms:
Bi: 0.398 0.398 0.000
Bi: 0.602 0.602 0.000
Cd: 0.750 0.250 0.500
Cd: 0.250 0.750 0.500
Hf: 0.000 0.000 0.000

---

3.
VASP calculation (PBE) on an optimized crystal structure of NdAl6Cu.

Total energy   -3.9242 eV per atom

Cell: 6.176 6.176 4.545 Å, 90.00 90.00 120.00°
Fractional coordinates of all 8 atoms:
Al: 0.040 0.520 0.000
Al: 0.480 0.520 0.000
Al: 0.480 0.960 0.000
Al: 0.161 0.322 0.500
Al: 0.161 0.839 0.500
Al: 0.678 0.839 0.500
Cu: 0.000 0.000 0.000
Nd: 0.667 0.333 0.500